No. 1
Compound: GaGeH3
Source: Alexandria
Functional: PBE
Structure: relaxed

DFT total energy = -2.9242 eV/atom
distance to the lowest polymorph of the same formula = 125 meV/atom
space group = Pm-3m

abc: 3.721 3.721 3.721
angles: 90.00 90.00 90.00
Fractional coordinates of all 5 atoms:
Ga  0.000  0.000  0.000
Ge  0.500  0.500  0.500
H  0.000  0.000  0.500
H  0.000  0.500  0.000
H  0.500  0.000  0.000



No. 2
Compound: Ta2OsPb
Source: Alexandria
Functional: PBE
Structure: relaxed

DFT total energy = -9.3648 eV/atom
formation energy = 0.30 eV per atom
space group = P2/m

abc: 3.014 4.089 6.000
angles: 90.00 90.69 90.00
Fractional coordinates of all 4 atoms:
Ta  0.007  0.000  0.280
Ta  0.993  0.000  0.720
Os  0.500  0.500  0.500
Pb  0.500  0.500  0.000



No. 3
Compound: KMg2TlPt
Source: Alexandria
Functional: PBE
Structure: relaxed

DFT total energy = -2.2851 eV/atom
formation energy = 0.25 eV per atom
distance to the lowest polymorph of the same formula = 530 meV/atom
space group = P4/mmm

abc: 5.383 5.383 5.310
angles: 90.00 90.00 90.00
Fractional coordinates of all 5 atoms:
K  0.000  0.000  0.000
Mg  0.000  0.500  0.500
Mg  0.500  0.000  0.500
Tl  0.500  0.500  0.500
Pt  0.500  0.500  0.000



No. 4
Compound: NaAu2Se
Source: Alexandria
Functional: PBE
Structure: relaxed

DFT total energy = -2.9680 eV/atom
formation energy without anion corrections = -2.96 kcal/mol of atoms
space group = I-42d

abc: 5.064 5.064 17.982
angles: 90.00 90.00 90.00
Fractional coordinates of all 16 atoms:
Na  0.000  0.000  0.000
Na  0.000  0.500  0.250
Na  0.500  0.000  0.750
Na  0.500  0.500  0.500
Au  0.101  0.250  0.625
Au  0.250  0.601  0.875
Au  0.250  0.899  0.375
Au  0.399  0.250  0.125
Au  0.601  0.750  0.125
Au  0.750  0.101  0.375
Au  0.750  0.399  0.875
Au  0.899  0.750  0.625
Se  0.000  0.000  0.500
Se  0.000  0.500  0.750
Se  0.500  0.000  0.250
Se  0.500  0.500  0.000



No. 5
Compound: Cs2CrSbTe4
Source: Alexandria
Functional: PBE
Structure: relaxed

DFT total energy = -3.9189 eV/atom
formation energy without anion corrections = -9.60 kcal/mol of atoms
space group = Imma

abc: 9.433 9.433 9.433
angles: 122.19 117.86 90.00
Fractional coordinates of all 16 atoms:
Cs  0.000  0.000  0.000
Cs  0.500  0.000  0.000
Cs  0.500  0.000  0.500
Cs  0.500  0.500  0.500
Cr  0.000  0.000  0.500
Cr  0.000  0.500  0.000
Sb  0.000  0.500  0.500
Sb  0.500  0.500  0.000
Te  0.171  0.735  0.435
Te  0.200  0.265  0.935
Te  0.214  0.246  0.532
Te  0.214  0.682  0.968
Te  0.786  0.318  0.032
Te  0.786  0.754  0.468
Te  0.800  0.735  0.065
Te  0.829  0.265  0.565



No. 6
Compound: YCuTc2
Source: Alexandria
Functional: PBE
Structure: relaxed

DFT total energy = -7.2240 eV/atom
formation energy = 0.60 eV per atom
distance to the lowest polymorph of the same formula = 576 meV/atom
space group = Fm-3m

abc: 6.451 6.451 6.451
angles: 90.00 90.00 90.00
Fractional coordinates of all 16 atoms:
Y  0.000  0.000  0.000
Y  0.000  0.500  0.500
Y  0.500  0.000  0.500
Y  0.500  0.500  0.000
Cu  0.000  0.000  0.500
Cu  0.000  0.500  0.000
Cu  0.500  0.000  0.000
Cu  0.500  0.500  0.500
Tc  0.250  0.250  0.250
Tc  0.250  0.250  0.750
Tc  0.250  0.750  0.250
Tc  0.250  0.750  0.750
Tc  0.750  0.250  0.250
Tc  0.750  0.250  0.750
Tc  0.750  0.750  0.250
Tc  0.750  0.750  0.750



No. 7
Compound: La2Ge2Pd3
Source: Alexandria
Functional: PBE
Structure: relaxed

DFT total energy = -5.8047 eV/atom
formation energy = -0.85 eV per atom
space group = C2/m

abc: 10.796 4.145 7.116
angles: 90.00 113.29 90.00
Fractional coordinates of all 14 atoms:
La  0.132  0.000  0.266
La  0.368  0.500  0.734
La  0.632  0.500  0.266
La  0.868  0.000  0.734
Ge  0.153  0.000  0.727
Ge  0.347  0.500  0.273
Ge  0.653  0.500  0.727
Ge  0.847  0.000  0.273
Pd  0.000  0.500  0.500
Pd  0.126  0.500  0.933
Pd  0.374  0.000  0.067
Pd  0.500  0.000  0.500
Pd  0.626  0.000  0.933
Pd  0.874  0.500  0.067



No. 8
Compound: Er4Zn3In
Source: Alexandria
Functional: PBE
Structure: relaxed

DFT total energy = -3.4266 eV/atom
formation energy = -0.33 eV per atom
distance to the lowest polymorph of the same formula = 46 meV/atom
space group = Pmm2

abc: 3.677 4.544 11.404
angles: 90.00 90.00 90.00
Fractional coordinates of all 8 atoms:
Er  0.000  0.000  0.000
Er  0.000  0.500  0.292
Er  0.500  0.000  0.478
Er  0.500  0.500  0.807
Zn  0.000  0.500  0.564
Zn  0.500  0.000  0.213
Zn  0.500  0.500  0.074
In  0.000  0.000  0.712



No. 9
Compound: CdGeSe2
Source: Alexandria
Functional: PBE
Structure: relaxed

DFT total energy = -3.4728 eV/atom
formation energy without anion corrections = -8.01 kcal/mol of atoms
space group = P3_221

abc: 4.071 4.071 19.509
angles: 90.00 90.00 120.00
Fractional coordinates of all 12 atoms:
Cd  0.000  0.673  0.333
Cd  0.327  0.327  0.000
Cd  0.673  0.000  0.667
Ge  0.000  0.677  0.833
Ge  0.323  0.323  0.500
Ge  0.677  0.000  0.167
Se  0.026  0.691  0.582
Se  0.309  0.335  0.249
Se  0.335  0.309  0.751
Se  0.665  0.974  0.916
Se  0.691  0.026  0.418
Se  0.974  0.665  0.084



No. 10
Compound: Nd4Y2Ho2Er
Source: Alexandria
Functional: PBE
Structure: relaxed

DFT total energy = -5.0589 eV/atom
formation energy = 0.02 eV per atom
space group = C2/m

abc: 8.061 8.061 8.052
angles: 107.48 107.48 36.87
Fractional coordinates of all 9 atoms:
Nd  0.055  0.055  0.330
Nd  0.278  0.278  0.669
Nd  0.722  0.722  0.331
Nd  0.945  0.945  0.670
Y  0.388  0.388  0.330
Y  0.612  0.612  0.670
Ho  0.167  0.167  0.000
Ho  0.833  0.833  0.000
Er  0.500  0.500  0.000



No. 11
Compound: CeNdFe
Source: Alexandria
Functional: PBE
Structure: relaxed

DFT total energy = -6.3843 eV/atom
formation energy = 0.00 eV per atom
distance to the lowest polymorph of the same formula = 0 meV/atom
space group = C2/m

abc: 9.260 5.333 6.943
angles: 90.00 116.34 90.00
Fractional coordinates of all 12 atoms:
Ce  0.125  0.000  0.374
Ce  0.375  0.500  0.626
Ce  0.625  0.500  0.374
Ce  0.875  0.000  0.626
Nd  0.115  0.500  0.846
Nd  0.385  0.000  0.154
Nd  0.615  0.000  0.846
Nd  0.885  0.500  0.154
Fe  0.236  0.000  0.709
Fe  0.264  0.500  0.291
Fe  0.736  0.500  0.709
Fe  0.764  0.000  0.291



No. 12
Compound: RbSe2N
Source: Alexandria
Functional: PBE
Structure: relaxed

DFT total energy = -3.0435 eV/atom
formation energy without anion corrections = 23.57 kcal/mol of atoms
space group = R-3m

abc: 3.578 3.578 26.785
angles: 90.00 90.00 120.00
Fractional coordinates of all 12 atoms:
Rb  0.000  0.000  0.000
Rb  0.333  0.667  0.667
Rb  0.667  0.333  0.333
Se  0.000  0.000  0.120
Se  0.000  0.000  0.880
Se  0.333  0.667  0.547
Se  0.333  0.667  0.786
Se  0.667  0.333  0.214
Se  0.667  0.333  0.453
N  0.000  0.000  0.500
N  0.333  0.667  0.167
N  0.667  0.333  0.833



No. 13
Compound: Sr3CaAs2N
Source: Alexandria
Functional: PBE
Structure: relaxed

DFT total energy = -4.5034 eV/atom
formation energy without anion corrections = -22.57 kcal/mol of atoms
space group = Immm

abc: 4.773 4.900 16.271
angles: 90.00 90.00 90.00
Fractional coordinates of all 14 atoms:
Sr  0.000  0.000  0.000
Sr  0.000  0.500  0.169
Sr  0.000  0.500  0.831
Sr  0.500  0.000  0.331
Sr  0.500  0.000  0.669
Sr  0.500  0.500  0.500
Ca  0.000  0.000  0.500
Ca  0.500  0.500  0.000
As  0.000  0.500  0.365
As  0.000  0.500  0.635
As  0.500  0.000  0.135
As  0.500  0.000  0.865
N  0.000  0.500  0.000
N  0.500  0.000  0.500